# 1
KGeMo2 | GGA-PBE | optimized geometry

Structure (POSCAR):
```
KGeMo2
1.0
-2.3741 2.3741 9.3958
2.3741 -2.3741 9.3958
2.3741 2.3741 -9.3958
K Ge Mo
2 2 4
Cartesian
0.0000 0.0000 0.0000 K
0.0000 2.3741 4.6979 K
2.3741 0.0000 4.6979 Ge
0.0000 0.0000 9.3958 Ge
1.1870 2.2383 -2.3489 Mo
2.5098 1.1870 2.3489 Mo
1.1870 0.1357 7.0468 Mo
-0.1357 1.1870 11.7447 Mo
```

Computed properties:
calculated formation energy: 26.3 kcal/mol of atoms

***

# 2
KGe3Mo | GGA-PBE | optimized geometry

Structure (POSCAR):
```
KGe3Mo
1.0
5.1178 0.0000 0.0000
0.0000 5.1178 0.0000
0.0000 0.0000 5.1178
K Ge Mo
1 3 1
Cartesian
0.0000 0.0000 0.0000 K
0.0000 0.0000 2.5589 Ge
0.0000 2.5589 0.0000 Ge
2.5589 0.0000 0.0000 Ge
2.5589 2.5589 2.5589 Mo
```

Computed properties:
energy above the most stable polymorph in this dataset: 1116 kJ/mol of formula units
calculated formation energy: 54.6 kcal/mol of atoms

***

# 3
K3GeMo | GGA-PBE | optimized geometry

Structure (POSCAR):
```
K3GeMo
1.0
6.5027 0.0000 0.0000
0.0000 6.5027 0.0000
0.0000 0.0000 6.5027
K Ge Mo
3 1 1
Cartesian
0.0000 0.0000 3.2514 K
0.0000 3.2514 0.0000 K
3.2514 0.0000 0.0000 K
0.0000 0.0000 0.0000 Ge
3.2514 3.2514 3.2514 Mo
```

Computed properties:
energy above the most stable polymorph in this dataset: 0 kJ/mol of formula units
calculated formation energy: 27.9 kcal/mol of atoms

***

# 4
KGe3Mo | GGA-PBE | optimized geometry

Structure (POSCAR):
```
KGe3Mo
1.0
4.9740 0.0000 0.0000
0.0000 4.9740 0.0000
0.0000 0.0000 4.9740
K Ge Mo
1 3 1
Cartesian
0.0000 0.0000 0.0000 K
0.0000 2.4870 2.4870 Ge
2.4870 0.0000 2.4870 Ge
2.4870 2.4870 0.0000 Ge
2.4870 2.4870 2.4870 Mo
```

Computed properties:
energy above the most stable polymorph in this dataset: 0 kJ/mol of formula units
calculated formation energy: 1.3 kcal/mol of atoms

***

# 5
KGe2Mo | GGA-PBE | optimized geometry

Structure (POSCAR):
```
KGe2Mo
1.0
-2.9942 2.9942 7.6067
2.9942 -2.9942 7.6067
2.9942 2.9942 -7.6067
K Ge Mo
2 4 2
Cartesian
0.0000 0.0000 0.0000 K
0.0000 2.9942 3.8033 K
1.4971 -0.0058 5.7050 Ge
2.9884 1.4971 1.9017 Ge
1.4971 2.9999 -1.9017 Ge
0.0058 1.4971 9.5083 Ge
2.9942 0.0000 3.8033 Mo
0.0000 0.0000 7.6067 Mo
```

Computed properties:
energy above the most stable polymorph in this dataset: 0 kJ/mol of formula units
calculated formation energy: 8.3 kcal/mol of atoms

***

# 6
KGe2Mo2 | GGA-PBE | optimized geometry

Structure (POSCAR):
```
KGe2Mo2
1.0
-2.4429 2.4429 4.4103
2.4429 -2.4429 4.4103
2.4429 2.4429 -4.4103
K Ge Mo
1 2 2
Cartesian
0.0000 0.0000 0.0000 K
2.4429 0.0000 2.2052 Ge
0.0000 2.4429 2.2052 Ge
0.0000 0.0000 3.2630 Mo
0.0000 0.0000 5.5577 Mo
```

Computed properties:
calculated formation energy: 9.2 kcal/mol of atoms

***

# 7
KGe2Mo | GGA-PBE | optimized geometry

Structure (POSCAR):
```
KGe2Mo
1.0
0.0000 3.4303 3.4303
3.4303 0.0000 3.4303
3.4303 3.4303 0.0000
K Ge Mo
1 2 1
Cartesian
0.0000 0.0000 0.0000 K
1.7151 1.7151 1.7151 Ge
5.1454 5.1454 5.1454 Ge
3.4303 3.4303 3.4303 Mo
```

Computed properties:
energy above the most stable polymorph in this dataset: 140 kJ/mol of formula units
calculated formation energy: 16.6 kcal/mol of atoms

***

Q: The lowest calculated formation energy belongs to which entry?
A: number 4